Below is crystalline KSF6 at its relaxed geometry, with properties calculated at the PBE-GGA level.

Output
Raw formation energy ... -1.867 eV/atom
E ... -3.92 eV per atom
D(E_F) ... 1.9 states/eV per cell
Offset from the most stable computed form ... 0.0 meV per atom
Space group ... No. 12

POSCAR file:
```
KSF6
1.0
-2.0188 -1.7597 4.3938
5.3448 -0.9579 -0.4710
0.8479 5.3863 -0.0036
K S F
1 1 6
direct
0.0000 0.5000 0.5000 K
0.0000 0.0000 0.0000 S
0.3157 0.2711 0.2710 F
0.8129 0.2085 0.8927 F
0.8129 0.8934 0.2084 F
0.1871 0.7915 0.1073 F
0.6843 0.7289 0.7290 F
0.1871 0.1066 0.7916 F
```


Below is crystalline KSF3 at its relaxed geometry, with properties calculated at the PBE-GGA level.

Output
Raw formation energy ... -0.476 eV/atom
E ... -2.64 eV per atom
D(E_F) ... 5.1 states/eV per cell
Offset from the most stable computed form ... 952.3 meV per atom
Space group ... No. 221

POSCAR file:
```
KSF3
1.0
4.8333 0.0000 0.0000
0.0000 4.8333 0.0000
0.0000 0.0000 4.8333
K S F
1 1 3
direct
0.0000 0.0000 0.0000 K
0.5000 0.5000 0.5000 S
0.0000 0.5000 0.0000 F
0.0000 0.0000 0.5000 F
0.5000 0.0000 0.0000 F
```


Below is crystalline K2SF at its relaxed geometry, with properties calculated at the PBE-GGA level.

Output
Raw formation energy ... -1.483 eV/atom
E ... -3.53 eV per atom
D(E_F) ... 1.0 states/eV per cell
Offset from the most stable computed form ... 86.7 meV per atom
Space group ... No. 122

POSCAR file:
```
K2SF
1.0
7.4493 0.0000 0.0000
0.0000 7.4493 0.0000
3.7247 3.7247 4.2793
K S F
4 2 2
direct
0.5548 0.1250 0.2500 K
0.1952 0.6250 0.2500 K
0.3750 0.4452 0.7500 K
0.8750 0.8048 0.7500 K
0.0000 0.0000 0.0000 S
0.7500 0.2500 0.5000 S
0.5000 0.5000 0.0000 F
0.2500 0.7500 0.5000 F
```


Below is crystalline K3SF6 at its relaxed geometry, with properties calculated at the PBE-GGA level.

Output
Raw formation energy ... -2.094 eV/atom
E ... -3.96 eV per atom
Space group ... No. 36

POSCAR file:
```
K3SF6
1.0
-6.0280 -2.6692 1.4572
3.3760 -5.2521 4.3450
0.2806 3.1443 6.9206
K S F
6 2 12
direct
0.4452 0.9245 0.6353 K
0.9452 0.6353 0.9245 K
0.3654 0.4921 0.5079 K
0.8654 0.5079 0.4921 K
0.9452 0.0755 0.3647 K
0.4452 0.3647 0.0755 K
0.0796 0.1362 0.8638 S
0.5796 0.8638 0.1362 S
0.1051 0.7624 0.5881 F
0.6051 0.5881 0.7624 F
0.1281 0.3768 0.8155 F
0.6281 0.8155 0.3768 F
0.3452 0.1156 0.8844 F
0.8386 0.1926 0.8074 F
0.3386 0.8074 0.1926 F
0.8452 0.8844 0.1156 F
0.1281 0.1845 0.6232 F
0.6281 0.6232 0.1845 F
0.1051 0.4119 0.2376 F
0.6051 0.2376 0.4119 F
```


Below is crystalline K4S2F at its relaxed geometry, with properties calculated at the PBE-GGA level.

Output
Raw formation energy ... -1.361 eV/atom
E ... -3.43 eV per atom
D(E_F) ... 2.9 states/eV per cell
Space group ... No. 139

POSCAR file:
```
K4S2F
1.0
5.1554 0.0000 0.0000
0.0000 5.1554 0.0000
-2.5777 -2.5777 7.7741
K S F
4 2 1
direct
0.8272 0.8272 0.6544 K
0.1728 0.1728 0.3456 K
0.0000 0.5000 0.0000 K
0.5000 0.0000 0.0000 K
0.6265 0.6265 0.2531 S
0.3735 0.3735 0.7469 S
0.0000 0.0000 0.0000 F
```


Below is crystalline KSF2 at its relaxed geometry, with properties calculated at the PBE-GGA level.

Output
Raw formation energy ... -1.116 eV/atom
E ... -3.36 eV per atom
D(E_F) ... 4.7 states/eV per cell
Offset from the most stable computed form ... 418.1 meV per atom
Space group ... No. 122

POSCAR file:
```
KSF2
1.0
4.7206 0.0000 0.0000
0.0000 4.7206 0.0000
2.3603 2.3603 7.1042
K S F
2 2 4
direct
0.0000 0.0000 0.0000 K
0.7500 0.2500 0.5000 K
0.5000 0.5000 0.0000 S
0.2500 0.7500 0.5000 S
0.5125 0.1250 0.2500 F
0.2375 0.6250 0.2500 F
0.3750 0.4875 0.7500 F
0.8750 0.7625 0.7500 F
```


Below is crystalline K2SbSF at its relaxed geometry, with properties calculated at the PBE-GGA level.

Output
Raw formation energy ... -0.524 eV/atom
E ... -2.99 eV per atom
D(E_F) ... 3.1 states/eV per cell
Space group ... No. 123

POSCAR file:
```
K2SbSF
1.0
6.4038 0.0000 0.0000
0.0000 3.9439 0.0000
0.0000 0.0000 6.4038
Sb K S F
1 2 1 1
direct
0.5000 0.5000 0.5000 Sb
0.0000 0.0000 0.5000 K
0.5000 0.0000 0.0000 K
0.0000 0.0000 0.0000 S
0.0000 0.5000 0.0000 F
```


Below is crystalline K2SbSF3 at its relaxed geometry, with properties calculated at the PBE-GGA level.

Output
Raw formation energy ... -1.971 eV/atom
E ... -4.27 eV per atom
D(E_F) ... 0.3 states/eV per cell
Space group ... No. 71

POSCAR file:
```
K2SbSF3
1.0
5.3281 0.0000 0.0000
0.0000 4.6370 0.0000
-2.6641 -2.3185 6.8602
K Sb S F
2 1 1 3
direct
0.6519 0.6519 0.3037 K
0.3481 0.3481 0.6963 K
0.0000 0.0000 0.0000 Sb
0.5000 0.0000 0.0000 S
0.0000 0.5000 0.0000 F
0.1616 0.1616 0.3232 F
0.8384 0.8384 0.6768 F
```


Below is crystalline KSb2SF at its relaxed geometry, with properties calculated at the PBE-GGA level.

Output
Raw formation energy ... 0.464 eV/atom
E ... -2.60 eV per atom
D(E_F) ... 6.1 states/eV per cell
Space group ... No. 123

POSCAR file:
```
KSb2SF
1.0
-5.1031 2.8318 0.9996
-0.4465 -2.1371 3.7748
2.9412 4.3151 2.7909
Sb K S F
2 1 1 1
direct
0.0000 0.0000 0.5000 Sb
0.5000 0.0000 0.0000 Sb
0.0000 0.0000 0.0000 K
0.5000 0.5000 0.5000 S
0.0000 0.5000 0.0000 F
```


Below is crystalline KSc2SF at its relaxed geometry, with properties calculated at the PBE-GGA level.

Output
Raw formation energy ... 0.183 eV/atom
E ... -3.77 eV per atom
D(E_F) ... 4.0 states/eV per cell
Space group ... No. 123

POSCAR file:
```
KSc2SF
1.0
-1.2088 -3.9354 -3.4597
-0.7339 -2.6631 3.2858
-5.1586 1.5168 0.0771
Sc K S F
2 1 1 1
direct
0.0000 0.0000 0.5000 Sc
0.5000 0.0000 0.0000 Sc
0.0000 0.0000 0.0000 K
0.5000 0.5000 0.5000 S
0.0000 0.5000 0.0000 F
```


Below is crystalline K2SnSF at its relaxed geometry, with properties calculated at the PBE-GGA level.

Output
Raw formation energy ... -0.865 eV/atom
E ... -3.30 eV per atom
D(E_F) ... 1.5 states/eV per cell
Space group ... No. 123

POSCAR file:
```
K2SnSF
1.0
-0.2254 6.0639 -0.5812
-1.0855 -0.5367 -5.1791
-5.9634 -0.1009 1.2603
S K Sn F
1 2 1 1
direct
0.0000 0.0000 0.0000 S
0.0000 0.0000 0.5000 K
0.5000 0.0000 0.0000 K
0.0000 0.5000 0.0000 Sn
0.5000 0.5000 0.5000 F
```


Below is crystalline KTl2SF at its relaxed geometry, with properties calculated at the PBE-GGA level.

Output
Raw formation energy ... -1.223 eV/atom
E ... -3.59 eV per atom
Space group ... No. 11

POSCAR file:
```
KTl2SF
1.0
-1.6818 -0.1549 -3.6588
4.2533 -5.4644 -1.7237
-6.7270 -6.5278 3.3686
K Tl S F
2 4 2 2
direct
0.7500 0.2721 0.0134 K
0.2500 0.7279 0.9866 K
0.2500 0.6387 0.3500 Tl
0.2500 0.1386 0.3436 Tl
0.7500 0.8614 0.6564 Tl
0.7500 0.3613 0.6500 Tl
0.7500 0.8973 0.2283 S
0.2500 0.1027 0.7717 S
0.7500 0.5878 0.8526 F
0.2500 0.4122 0.1474 F
```


Below is crystalline K3U2S5F2 at its relaxed geometry, with properties calculated at the PBE-GGA level.

Output
Raw formation energy ... -1.845 eV/atom
E ... -6.03 eV per atom
D(E_F) ... 8.7 states/eV per cell
Space group ... No. 139

POSCAR file:
```
K3U2S5F2
1.0
5.3101 0.0000 0.0000
0.0000 5.3101 0.0000
-2.6551 -2.6551 11.8706
K U S F
3 2 5 2
direct
0.1888 0.1888 0.3775 K
0.8112 0.8112 0.6225 K
0.0000 0.0000 0.0000 K
0.3902 0.3902 0.7804 U
0.6098 0.6098 0.2196 U
0.6117 0.1117 0.2235 S
0.3883 0.8883 0.7765 S
0.1117 0.6117 0.2235 S
0.8883 0.3883 0.7765 S
0.5000 0.5000 0.0000 S
0.7011 0.7011 0.4022 F
0.2989 0.2989 0.5978 F
```